Entry 1:
A relaxed LiSc2P crystal, computed with PBE.

M_tot in μB per cell: 0.00
Total energy in eV/f.u.: -21.94
Formation energy from the elements in meV per atom: -489
Volume in Å³ per atom: 25.3

abc: 3.5622 3.5622 27.6580
angles: 90.00 90.00 120.00
Space group R-3m (No. 166, hexagonal axes)
Unique sites:
Li  0.0000  0.0000  0.0000 [3 per cell]
Sc  0.0000  0.0000  0.1130 [6 per cell]
P  0.0000  0.0000  0.5000 [3 per cell]



Entry 2:
A relaxed LiPmHgGe crystal, computed with PBE.

M_tot in μB per cell: 0.00
Total energy in eV/f.u.: -13.59
Formation energy from the elements in meV per atom: -501
Volume in Å³ per atom: 22.6

abc: 7.122 7.122 7.122
angles: 90.00 90.00 90.00
Space group F-43m (No. 216)
Unique sites:
Li  0.000  0.000  0.000 [4 per cell]
Pm  0.000  0.000  0.500 [4 per cell]
Hg  0.250  0.250  0.250 [4 per cell]
Ge  0.250  0.250  0.750 [4 per cell]